(1)
First-principles (GGA-PBE) data for crystalline Ca3FeH at its relaxed geometry, as listed in the Alexandria database.

Lattice parameters (Å, degrees): 4.756 4.756 4.756 90.00 90.00 90.00
Element x y z (fractional)
H 0.000 0.000 0.000
Ca 0.000 0.500 0.000
Ca 0.500 0.000 0.000
Ca 0.000 0.000 0.500
Fe 0.500 0.500 0.500

Summary:
Energy above the most stable polymorph in this dataset: 0.000 eV per atom

(2)
First-principles (GGA-PBE) data for crystalline BaMnAgC2 at its relaxed geometry, as listed in the Alexandria database.

Lattice parameters (Å, degrees): 4.014 5.581 4.014 90.00 90.00 90.00
Element x y z (fractional)
C 0.500 0.000 0.000
C 0.000 0.000 0.500
Mn 0.000 0.000 0.000
Ag 0.500 0.500 0.500
Ba 0.000 0.500 0.000

Summary:
ΔE_f: 1.508 eV/atom

(3)
First-principles (GGA-PBE) data for crystalline Sm2Tm2Hg at its relaxed geometry, as listed in the Alexandria database.

Lattice parameters (Å, degrees): 5.104 5.104 12.696 101.60 101.60 90.00
Element x y z (fractional)
Hg 0.250 0.750 0.500
Hg 0.500 0.500 0.000
Tm 0.178 0.178 0.357
Tm 0.572 0.072 0.143
Tm 0.928 0.428 0.857
Tm 0.822 0.822 0.643
Sm 0.078 0.578 0.155
Sm 0.328 0.328 0.655
Sm 0.422 0.922 0.845
Sm 0.672 0.672 0.345

Summary:
Energy above the most stable polymorph in this dataset: 0.139 eV per atom
ΔE_f: -0.040 eV/atom

(4)
First-principles (GGA-PBE) data for crystalline Ag2Sn2Cl at its relaxed geometry, as listed in the Alexandria database.

Lattice parameters (Å, degrees): 4.026 4.026 7.985 75.40 75.40 90.00
Element x y z (fractional)
Ag 0.250 0.750 0.500
Ag 0.750 0.250 0.500
Cl 0.000 0.000 0.000
Sn 0.396 0.396 0.207
Sn 0.604 0.604 0.793

Summary:
Energy above the most stable polymorph in this dataset: 0.068 eV per atom
E_form (uncorrected): -13 meV/atom

(5)
First-principles (GGA-PBE) data for crystalline La3Pr3Sm2 at its relaxed geometry, as listed in the Alexandria database.

Lattice parameters (Å, degrees): 5.971 6.171 8.975 110.20 109.43 90.00
Element x y z (fractional)
Pr 0.365 0.918 0.731
Pr 0.635 0.082 0.269
Pr 0.500 0.500 0.000
La 0.135 0.691 0.269
La 0.865 0.309 0.731
La 0.000 0.000 0.000
Sm 0.251 0.319 0.502
Sm 0.749 0.681 0.498

Summary:
Energy above the most stable polymorph in this dataset: 0.054 eV per atom
ΔE_f: 0.068 eV/atom

(6)
First-principles (GGA-PBE) data for crystalline Nb2GaBi at its relaxed geometry, as listed in the Alexandria database.

Lattice parameters (Å, degrees): 4.111 4.111 10.529 78.74 78.74 90.00
Element x y z (fractional)
Nb 0.875 0.847 0.750
Nb 0.375 0.403 0.750
Nb 0.153 0.625 0.250
Nb 0.597 0.125 0.250
Ga 0.250 0.750 0.500
Ga 0.500 0.500 0.000
Bi 0.000 0.000 0.000
Bi 0.750 0.250 0.500

Summary:
Energy above the most stable polymorph in this dataset: 0.136 eV per atom
ΔE_f: 0.380 eV/atom